{"formula": "Li2ErNiF8", "functional": "GGA+U", "state": "relaxed", "lattice": [[4.725, -0.012, -0.003], [0.022, 4.723, -0.007], [0.005, 0.010, 6.485]], "species": ["F", "F", "F", "F", "F", "F", "F", "F", "Li", "Li", "Er", "Ni"], "fractional_positions": [[0.684, 0.685, 0.500], [0.196, 0.803, 0.228], [0.721, 0.722, 0.000], [0.196, 0.803, 0.772], [0.279, 0.278, 0.000], [0.316, 0.315, 0.500], [0.804, 0.197, 0.228], [0.804, 0.197, 0.772], [0.500, 0.500, 0.235], [0.500, 0.500, 0.765], [0.000, 0.000, 0.500], [0.000, 0.000, 0.000]], "rho_g_cm3": 4.496, "crystal_system": "orthorhombic", "n_ef_per_ev_cell": 0.0, "sg": "No. 65", "dft_energy_ev_per_atom": -5.060}